Run 1
{
  "formula": "KNbFe",
  "functional": "PBE",
  "state": "relaxed",
  "lattice": [[6.3083, 0.0000, 0.0000], [0.0000, 6.3083, 0.0000], [0.0000, 0.0000, 6.3083]],
  "species": ["K", "K", "K", "K", "Nb", "Nb", "Nb", "Nb", "Fe", "Fe", "Fe", "Fe"],
  "frac_coords": [[0.0000, 0.0000, 0.0000], [0.0000, 0.5000, 0.5000], [0.5000, 0.0000, 0.5000], [0.5000, 0.5000, 0.0000], [0.0000, 0.0000, 0.5000], [0.0000, 0.5000, 0.0000], [0.5000, 0.0000, 0.0000], [0.5000, 0.5000, 0.5000], [0.2500, 0.2500, 0.2500], [0.2500, 0.7500, 0.7500], [0.7500, 0.2500, 0.7500], [0.7500, 0.7500, 0.2500]],
  "total_magnetization_mub_per_cell": 0.36
}



Run 2
{
  "formula": "KNbFe",
  "functional": "PBE",
  "state": "relaxed",
  "lattice": [[6.8389, 0.0000, 0.0000], [0.0000, 6.8389, 0.0000], [0.0000, 0.0000, 6.8389]],
  "species": ["K", "K", "K", "K", "Nb", "Nb", "Nb", "Nb", "Fe", "Fe", "Fe", "Fe"],
  "frac_coords": [[0.0000, 0.0000, 0.0000], [0.0000, 0.5000, 0.5000], [0.5000, 0.0000, 0.5000], [0.5000, 0.5000, 0.0000], [0.2500, 0.2500, 0.2500], [0.2500, 0.7500, 0.7500], [0.7500, 0.2500, 0.7500], [0.7500, 0.7500, 0.2500], [0.2500, 0.2500, 0.7500], [0.2500, 0.7500, 0.2500], [0.7500, 0.2500, 0.2500], [0.7500, 0.7500, 0.7500]],
  "total_magnetization_mub_per_cell": 24.98
}



Quick one: most stable of them? run 1



Run 1
{
  "formula": "KNdFeS3",
  "functional": "PBE",
  "state": "relaxed",
  "lattice": [[2.0339, -7.0446, 0.0000], [2.0339, 7.0446, 0.0000], [0.0000, 0.0000, 10.8124]],
  "species": ["K", "K", "Nd", "Nd", "Fe", "Fe", "S", "S", "S", "S", "S", "S"],
  "frac_coords": [[0.2432, 0.7568, 0.7500], [0.7568, 0.2432, 0.2500], [0.5000, 0.5000, 0.0000], [0.5000, 0.5000, 0.5000], [0.0299, 0.9701, 0.2500], [0.9701, 0.0299, 0.7500], [0.1252, 0.8748, 0.0788], [0.1252, 0.8748, 0.4212], [0.4378, 0.5622, 0.2500], [0.5622, 0.4378, 0.7500], [0.8748, 0.1252, 0.5788], [0.8748, 0.1252, 0.9212]],
  "total_magnetization_mub_per_cell": 7.99
}



Run 2
{
  "formula": "KNdFeS3",
  "functional": "PBE",
  "state": "relaxed",
  "lattice": [[14.5323, 0.0000, 0.0000], [0.0000, 4.0375, 0.0000], [0.0000, 0.0000, 11.0250]],
  "species": ["K", "K", "K", "K", "Nd", "Nd", "Nd", "Nd", "Fe", "Fe", "Fe", "Fe", "S", "S", "S", "S", "S", "S", "S", "S", "S", "S", "S", "S"],
  "frac_coords": [[0.2317, 0.2500, 0.0362], [0.2683, 0.7500, 0.5362], [0.7317, 0.2500, 0.4638], [0.7683, 0.7500, 0.9638], [0.0152, 0.2500, 0.3412], [0.4848, 0.7500, 0.8412], [0.5152, 0.2500, 0.1588], [0.9848, 0.7500, 0.6588], [0.0101, 0.7500, 0.0844], [0.4899, 0.2500, 0.5844], [0.5101, 0.7500, 0.4156], [0.9899, 0.2500, 0.9156], [0.0790, 0.7500, 0.8934], [0.1006, 0.2500, 0.5677], [0.1230, 0.7500, 0.2281], [0.3770, 0.2500, 0.7281], [0.3994, 0.7500, 0.0677], [0.4210, 0.2500, 0.3934], [0.5790, 0.7500, 0.6066], [0.6006, 0.2500, 0.9323], [0.6230, 0.7500, 0.2719], [0.8770, 0.2500, 0.7719], [0.8994, 0.7500, 0.4323], [0.9210, 0.2500, 0.1066]],
  "total_magnetization_mub_per_cell": 16.01
}



Quick one: most stable of them? run 2



Run 1
{
  "formula": "KPrFeSe3",
  "functional": "PBE",
  "state": "relaxed",
  "lattice": [[9.8634, 0.0000, 0.0000], [0.0000, 4.2903, 0.0000], [0.0000, 0.0000, 15.8402]],
  "species": ["K", "K", "K", "K", "Pr", "Pr", "Pr", "Pr", "Fe", "Fe", "Fe", "Fe", "Se", "Se", "Se", "Se", "Se", "Se", "Se", "Se", "Se", "Se", "Se", "Se"],
  "frac_coords": [[0.0608, 0.2500, 0.1887], [0.4392, 0.7500, 0.6887], [0.5608, 0.2500, 0.3113], [0.9392, 0.7500, 0.8113], [0.1859, 0.7500, 0.4426], [0.3141, 0.2500, 0.9426], [0.6859, 0.7500, 0.0574], [0.8141, 0.2500, 0.5574], [0.1437, 0.2500, 0.6316], [0.3563, 0.7500, 0.1316], [0.6437, 0.2500, 0.8684], [0.8563, 0.7500, 0.3684], [0.0169, 0.7500, 0.6054], [0.1669, 0.7500, 0.0337], [0.1975, 0.2500, 0.7766], [0.3025, 0.7500, 0.2766], [0.3331, 0.2500, 0.5337], [0.4831, 0.2500, 0.1054], [0.5169, 0.7500, 0.8946], [0.6669, 0.7500, 0.4663], [0.6975, 0.2500, 0.7234], [0.8025, 0.7500, 0.2234], [0.8331, 0.2500, 0.9663], [0.9831, 0.2500, 0.3946]],
  "total_magnetization_mub_per_cell": 16.01
}



Run 2
{
  "formula": "KPrFeSe3",
  "functional": "PBE",
  "state": "relaxed",
  "lattice": [[11.6442, 0.0000, 0.0000], [0.0000, 4.3516, 0.0000], [0.0000, 0.0000, 12.6873]],
  "species": ["K", "K", "K", "K", "Pr", "Pr", "Pr", "Pr", "Fe", "Fe", "Fe", "Fe", "Se", "Se", "Se", "Se", "Se", "Se", "Se", "Se", "Se", "Se", "Se", "Se"],
  "frac_coords": [[0.1731, 0.2500, 0.0065], [0.3269, 0.7500, 0.5065], [0.6731, 0.2500, 0.4935], [0.8269, 0.7500, 0.9935], [0.0185, 0.2500, 0.6752], [0.4815, 0.7500, 0.1752], [0.5185, 0.2500, 0.8248], [0.9815, 0.7500, 0.3248], [0.2466, 0.2500, 0.2935], [0.2534, 0.7500, 0.7935], [0.7466, 0.2500, 0.2065], [0.7534, 0.7500, 0.7065], [0.0531, 0.7500, 0.8367], [0.1111, 0.2500, 0.4409], [0.2168, 0.7500, 0.2024], [0.2832, 0.2500, 0.7024], [0.3889, 0.7500, 0.9409], [0.4469, 0.2500, 0.3367], [0.5531, 0.7500, 0.6633], [0.6111, 0.2500, 0.0591], [0.7168, 0.7500, 0.2976], [0.7832, 0.2500, 0.7976], [0.8889, 0.7500, 0.5591], [0.9469, 0.2500, 0.1633]],
  "total_magnetization_mub_per_cell": 16.00
}



Quick one: most stable of them? run 2



Run 1
{
  "formula": "KPrFeSe3",
  "functional": "PBE",
  "state": "relaxed",
  "lattice": [[8.7025, 0.0000, 0.0000], [0.0000, 4.1843, 0.0000], [-3.1338, 0.0000, 9.9736]],
  "species": ["K", "K", "Pr", "Pr", "Fe", "Fe", "Se", "Se", "Se", "Se", "Se", "Se"],
  "frac_coords": [[0.2414, 0.2500, 0.2099], [0.7586, 0.7500, 0.7901], [0.1900, 0.7500, 0.6405], [0.8100, 0.2500, 0.3595], [0.4320, 0.2500, 0.9148], [0.5680, 0.7500, 0.0852], [0.0479, 0.7500, 0.3485], [0.2811, 0.7500, 0.9499], [0.4428, 0.2500, 0.6846], [0.5572, 0.7500, 0.3154], [0.7189, 0.2500, 0.0501], [0.9521, 0.2500, 0.6515]],
  "total_magnetization_mub_per_cell": 7.99
}



Run 2
{
  "formula": "KPrFeSe3",
  "functional": "PBE",
  "state": "relaxed",
  "lattice": [[2.1180, -7.3578, 0.0000], [2.1180, 7.3578, 0.0000], [0.0000, 0.0000, 11.2692]],
  "species": ["K", "K", "Pr", "Pr", "Fe", "Fe", "Se", "Se", "Se", "Se", "Se", "Se"],
  "frac_coords": [[0.2453, 0.7547, 0.7500], [0.7547, 0.2453, 0.2500], [0.5000, 0.5000, 0.0000], [0.5000, 0.5000, 0.5000], [0.0305, 0.9695, 0.2500], [0.9695, 0.0305, 0.7500], [0.1287, 0.8713, 0.0773], [0.1287, 0.8713, 0.4227], [0.4342, 0.5658, 0.2500], [0.5658, 0.4342, 0.7500], [0.8713, 0.1287, 0.5773], [0.8713, 0.1287, 0.9227]],
  "total_magnetization_mub_per_cell": 7.99
}



Quick one: most stable of them? run 1



Run 1
{
  "formula": "KScFeTe3",
  "functional": "PBE",
  "state": "relaxed",
  "lattice": [[9.6733, 0.0000, 0.0000], [0.0000, 4.1102, 0.0000], [-3.6608, 0.0000, 9.4350]],
  "species": ["K", "K", "Sc", "Sc", "Fe", "Fe", "Te", "Te", "Te", "Te", "Te", "Te"],
  "frac_coords": [[0.2053, 0.2500, 0.2364], [0.7947, 0.7500, 0.7636], [0.3334, 0.7500, 0.8558], [0.6666, 0.2500, 0.1442], [0.0664, 0.2500, 0.5813], [0.9336, 0.7500, 0.4187], [0.1173, 0.2500, 0.8552], [0.2231, 0.7500, 0.5379], [0.4610, 0.7500, 0.1633], [0.5390, 0.2500, 0.8367], [0.7769, 0.2500, 0.4621], [0.8827, 0.7500, 0.1448]],
  "total_magnetization_mub_per_cell": 7.02
}



Run 2
{
  "formula": "KScFeTe3",
  "functional": "PBE",
  "state": "relaxed",
  "lattice": [[2.0928, -7.9922, 0.0000], [2.0928, 7.9922, 0.0000], [0.0000, 0.0000, 10.9534]],
  "species": ["K", "K", "Sc", "Sc", "Fe", "Fe", "Te", "Te", "Te", "Te", "Te", "Te"],
  "frac_coords": [[0.2471, 0.7529, 0.7500], [0.7529, 0.2471, 0.2500], [0.0000, 0.0000, 0.0000], [0.0000, 0.0000, 0.5000], [0.4690, 0.5310, 0.2500], [0.5310, 0.4690, 0.7500], [0.0702, 0.9298, 0.2500], [0.3763, 0.6237, 0.0559], [0.3763, 0.6237, 0.4441], [0.6237, 0.3763, 0.5559], [0.6237, 0.3763, 0.9441], [0.9298, 0.0702, 0.7500]],
  "total_magnetization_mub_per_cell": 7.57
}



Quick one: most stable of them? run 1



Run 1
{
  "formula": "KSmFeSe3",
  "functional": "PBE",
  "state": "relaxed",
  "lattice": [[11.0613, 0.0000, 0.0000], [0.0000, 4.1847, 0.0000], [0.0000, 0.0000, 14.7138]],
  "species": ["K", "K", "K", "K", "Sm", "Sm", "Sm", "Sm", "Fe", "Fe", "Fe", "Fe", "Se", "Se", "Se", "Se", "Se", "Se", "Se", "Se", "Se", "Se", "Se", "Se"],
  "frac_coords": [[0.2194, 0.2500, 0.0040], [0.2806, 0.7500, 0.5040], [0.7194, 0.2500, 0.4960], [0.7806, 0.7500, 0.9960], [0.0159, 0.7500, 0.2585], [0.4841, 0.2500, 0.7585], [0.5159, 0.7500, 0.2415], [0.9841, 0.2500, 0.7415], [0.2340, 0.7500, 0.7802], [0.2660, 0.2500, 0.2802], [0.7340, 0.7500, 0.7198], [0.7660, 0.2500, 0.2198], [0.0508, 0.7500, 0.8711], [0.0951, 0.2500, 0.3831], [0.2375, 0.2500, 0.6839], [0.2625, 0.7500, 0.1840], [0.4049, 0.7500, 0.8831], [0.4492, 0.2500, 0.3711], [0.5508, 0.7500, 0.6289], [0.5951, 0.2500, 0.1169], [0.7375, 0.2500, 0.8161], [0.7625, 0.7500, 0.3160], [0.9049, 0.7500, 0.6169], [0.9492, 0.2500, 0.1289]],
  "total_magnetization_mub_per_cell": 15.99
}



Run 2
{
  "formula": "KSmFeSe3",
  "functional": "PBE",
  "state": "relaxed",
  "lattice": [[10.1024, 0.0000, 0.0000], [0.0000, 4.2296, 0.0000], [0.0000, 0.0000, 15.5045]],
  "species": ["K", "K", "K", "K", "Sm", "Sm", "Sm", "Sm", "Fe", "Fe", "Fe", "Fe", "Se", "Se", "Se", "Se", "Se", "Se", "Se", "Se", "Se", "Se", "Se", "Se"],
  "frac_coords": [[0.0441, 0.2500, 0.1778], [0.4559, 0.7500, 0.6778], [0.5441, 0.2500, 0.3222], [0.9559, 0.7500, 0.8222], [0.1721, 0.7500, 0.4403], [0.3279, 0.2500, 0.9403], [0.6721, 0.7500, 0.0597], [0.8279, 0.2500, 0.5597], [0.1501, 0.2500, 0.6298], [0.3499, 0.7500, 0.1298], [0.6501, 0.2500, 0.8702], [0.8499, 0.7500, 0.3702], [0.0213, 0.7500, 0.6077], [0.1742, 0.7500, 0.0230], [0.2122, 0.2500, 0.7760], [0.2878, 0.7500, 0.2760], [0.3258, 0.2500, 0.5230], [0.4787, 0.2500, 0.1077], [0.5213, 0.7500, 0.8923], [0.6742, 0.7500, 0.4770], [0.7122, 0.2500, 0.7240], [0.7878, 0.7500, 0.2240], [0.8258, 0.2500, 0.9770], [0.9787, 0.2500, 0.3923]],
  "total_magnetization_mub_per_cell": 16.00
}



Quick one: most stable of them? run 1